This record from Alexandria via LeMat-Bulk describes crystalline Sr4TaSi at its relaxed geometry. The functional is PBEsol.

Results
**Theoretical density**: 4.79 g/cm3
**ΔE_f (raw)**: 1222 meV per atom

a b c (Å): 6.498 6.498 6.498
angles (deg): 60.00 60.00 60.00
Sites, in units of the cell vectors:
Sr: 0.125 0.125 0.125
Sr: 0.125 0.125 0.625
Sr: 0.125 0.625 0.125
Sr: 0.625 0.125 0.125
Ta: 0.500 0.500 0.500
Si: 0.750 0.750 0.750

This record from Alexandria via LeMat-Bulk describes crystalline Tb12Os5C15 at its relaxed geometry. The functional is PBEsol.

Results
**Theoretical density**: 10.22 g/cm3
**VASP energy**: -8.676 eV/atom

a b c (Å): 10.627 10.627 5.049
angles (deg): 90.00 90.00 120.00
Sites, in units of the cell vectors:
Tb: 0.000 0.205 0.000
Tb: 0.000 0.566 0.000
Tb: 0.184 0.457 0.500
Tb: 0.205 0.000 0.000
Tb: 0.272 0.816 0.500
Tb: 0.434 0.434 0.000
Tb: 0.457 0.184 0.500
Tb: 0.543 0.728 0.500
Tb: 0.566 0.000 0.000
Tb: 0.728 0.543 0.500
Tb: 0.795 0.795 0.000
Tb: 0.816 0.272 0.500
Os: 0.000 0.840 0.500
Os: 0.160 0.160 0.500
Os: 0.333 0.667 0.000
Os: 0.667 0.333 0.000
Os: 0.840 0.000 0.500
C: 0.000 0.209 0.500
C: 0.000 0.539 0.500
C: 0.000 0.664 0.500
C: 0.184 0.467 0.000
C: 0.209 0.000 0.500
C: 0.283 0.816 0.000
C: 0.336 0.336 0.500
C: 0.461 0.461 0.500
C: 0.467 0.184 0.000
C: 0.533 0.717 0.000
C: 0.539 0.000 0.500
C: 0.664 0.000 0.500
C: 0.717 0.533 0.000
C: 0.791 0.791 0.500
C: 0.816 0.283 0.000

This record from Alexandria via LeMat-Bulk describes crystalline NaSc3Re at its relaxed geometry. The functional is PBEsol.

Results
**Theoretical density**: 5.32 g/cm3
**VASP energy**: -5.205 eV/atom

a b c (Å): 4.753 4.753 4.753
angles (deg): 90.00 90.00 90.00
Sites, in units of the cell vectors:
Na: 0.000 0.000 0.000
Sc: 0.000 0.000 0.500
Sc: 0.000 0.500 0.000
Sc: 0.500 0.000 0.000
Re: 0.500 0.500 0.500

This record from Alexandria via LeMat-Bulk describes crystalline Li4V3Fe3W2O16 at its relaxed geometry. The functional is PBEsol.

Results
**Theoretical density**: 5.88 g/cm3
**ΔE_f (raw)**: -1958 meV per atom

a b c (Å): 5.682 5.682 9.781
angles (deg): 90.18 90.18 60.43
Sites, in units of the cell vectors:
Li: 0.000 0.000 0.000
Li: 0.000 0.000 0.496
Li: 0.331 0.331 0.079
Li: 0.666 0.666 0.584
V: 0.172 0.646 0.767
V: 0.646 0.172 0.767
V: 0.819 0.819 0.264
Fe: 0.185 0.185 0.773
Fe: 0.369 0.820 0.264
Fe: 0.820 0.369 0.264
W: 0.333 0.333 0.491
W: 0.663 0.663 0.991
O: 0.000 0.000 0.190
O: 0.006 0.006 0.686
O: 0.036 0.479 0.641
O: 0.160 0.656 0.394
O: 0.169 0.169 0.402
O: 0.340 0.850 0.884
O: 0.343 0.343 0.887
O: 0.479 0.036 0.641
O: 0.481 0.481 0.637
O: 0.515 0.515 0.117
O: 0.536 0.969 0.125
O: 0.656 0.160 0.394
O: 0.672 0.672 0.390
O: 0.832 0.832 0.881
O: 0.850 0.340 0.884
O: 0.969 0.536 0.125

Table of D(E_F) (states/eV per atom), in record order: 0.93, 0.52, 1.69, 0.19